A geometry-optimized K2CoBr structure. Source: Alexandria via LeMat-Bulk, functional PBE.

The offset from the most stable computed form is 39.0 meV per atom.

a = 9.0092 Å, b = 9.0092 Å, c = 9.0092 Å
α = 29.48°, β = 29.48°, γ = 29.48°
With the nearest neighbours (Å) after each atom.
Fractional coordinates of all 4 atoms:
K: 0.0000 0.0000 0.0000  3 Br 3.32, 3 Co 3.51
K: 0.1783 0.1783 0.1783  3 Br 3.32, 3 Co 3.51
Co: 0.7558 0.7558 0.7558  6 K 3.51
Br: 0.5893 0.5893 0.5893  6 K 3.32

A geometry-optimized KCoBr2 structure. Source: Alexandria via LeMat-Bulk, functional PBE.

The offset from the most stable computed form is 189.5 meV per atom.

a = 5.1606 Å, b = 5.1606 Å, c = 8.1442 Å
α = 90.00°, β = 90.00°, γ = 134.94°
With the nearest neighbours (Å) after each atom.
Fractional coordinates of all 4 atoms:
K: 0.0000 0.0000 0.0000  4 Br 3.13
Co: 0.0000 0.0000 0.5000  4 Br 2.57
Br: 0.5000 0.5000 0.2985  2 Co 2.57
Br: 0.5000 0.5000 0.7015  2 Co 2.57

A geometry-optimized K2Co2Br7 structure. Source: Alexandria via LeMat-Bulk, functional PBE.

a = 6.5455 Å, b = 15.9432 Å, c = 8.3134 Å
α = 90.00°, β = 98.52°, γ = 90.00°
With the nearest neighbours (Å) after each atom.
Fractional coordinates of all 22 atoms:
K: 0.1214 0.1539 0.4458  6 Br 3.36-3.40
K: 0.1214 0.3461 0.9458  6 Br 3.36-3.40
K: 0.8786 0.6539 0.0542  6 Br 3.36-3.40
K: 0.8786 0.8461 0.5542  6 Br 3.36-3.40
Co: 0.3293 0.6062 0.6372  4 Br 2.34-2.41
Co: 0.3293 0.8938 0.1372  4 Br 2.34-2.41
Co: 0.6707 0.1062 0.8628  4 Br 2.34-2.41
Co: 0.6707 0.3938 0.3628  4 Br 2.34-2.41
Br: 0.0424 0.6550 0.4598  1 Co 2.34
Br: 0.0424 0.8450 0.9598  1 Co 2.34
Br: 0.2269 0.5477 0.8735  1 Co 2.36
Br: 0.2269 0.9523 0.3735  1 Co 2.36
Br: 0.4446 0.2168 0.7776  1 Co 2.34
Br: 0.4446 0.2832 0.2776  1 Co 2.34
Br: 0.5000 0.0000 0.0000  2 Co 2.41
Br: 0.5000 0.5000 0.5000  2 Co 2.41
Br: 0.5554 0.7168 0.7224  1 Co 2.34
Br: 0.5554 0.7832 0.2224  1 Co 2.34
Br: 0.7731 0.0477 0.6265  1 Co 2.36
Br: 0.7731 0.4523 0.1265  1 Co 2.36
Br: 0.9576 0.1550 0.0402  1 Co 2.34
Br: 0.9576 0.3450 0.5402  1 Co 2.34

A geometry-optimized KCoBr2 structure. Source: Alexandria via LeMat-Bulk, functional PBE.

The offset from the most stable computed form is 884.8 meV per atom.

a = 5.3769 Å, b = 5.3769 Å, c = 5.3769 Å
α = 60.00°, β = 60.00°, γ = 60.00°
With the nearest neighbours (Å) after each atom.
Fractional coordinates of all 4 atoms:
K: 0.0000 0.0000 0.0000  4 Co 3.29, 4 Br 3.29
Co: 0.2500 0.2500 0.2500  4 Br 3.29, 4 K 3.29
Br: 0.5000 0.5000 0.5000  4 Br 3.29, 4 Co 3.29
Br: 0.7500 0.7500 0.7500  4 Br 3.29, 4 K 3.29

A geometry-optimized K3CoBr5 structure. Source: Alexandria via LeMat-Bulk, functional PBE.

a = 9.7663 Å, b = 9.7663 Å, c = 9.7663 Å
α = 124.31°, β = 124.31°, γ = 82.68°
With the nearest neighbours (Å) after each atom.
Fractional coordinates of all 18 atoms:
K: 0.1610 0.6610 0.8219  8 Br 3.32-3.56
K: 0.2500 0.2500 0.0000  10 Br 3.67-3.79
K: 0.3390 0.1610 0.5000  8 Br 3.32-3.56
K: 0.6610 0.8390 0.5000  8 Br 3.32-3.56
K: 0.7500 0.7500 0.0000  10 Br 3.67-3.79
K: 0.8390 0.3390 0.1781  8 Br 3.32-3.56
Co: 0.2500 0.7500 0.5000  4 Br 2.39
Co: 0.7500 0.2500 0.5000  4 Br 2.39
Br: 0.0000 0.0000 0.0000  6 K 3.42-3.67
Br: 0.0039 0.7953 0.5000  1 Co 2.39
Br: 0.2047 0.7047 0.2086  1 Co 2.39
Br: 0.2953 0.5039 0.5000  1 Co 2.39
Br: 0.4961 0.9961 0.7914  1 Co 2.39
Br: 0.5000 0.5000 0.0000  6 K 3.42-3.67
Br: 0.5039 0.0039 0.2086  1 Co 2.39
Br: 0.7047 0.4961 0.5000  1 Co 2.39
Br: 0.7953 0.2953 0.7914  1 Co 2.39
Br: 0.9961 0.2047 0.5000  1 Co 2.39

A geometry-optimized K2Co3Br9 structure. Source: Alexandria via LeMat-Bulk, functional PBE.

a = 10.4023 Å, b = 10.4023 Å, c = 10.4099 Å
α = 104.49°, β = 104.49°, γ = 113.11°
With the nearest neighbours (Å) after each atom.
Fractional coordinates of all 28 atoms:
K: 0.0987 0.7632 0.7074  6 Br 3.29-3.50
K: 0.2368 0.9013 0.2926  6 Br 3.29-3.50
K: 0.7632 0.0987 0.7074  6 Br 3.29-3.50
K: 0.9013 0.2368 0.2926  6 Br 3.29-3.50
Co: 0.2104 0.4413 0.8060  5 Br 2.43-2.66
Co: 0.3503 0.3503 0.1656  5 Br 2.38-2.55
Co: 0.4413 0.2104 0.8060  5 Br 2.43-2.66
Co: 0.5587 0.7896 0.1940  5 Br 2.43-2.66
Co: 0.6497 0.6497 0.8344  5 Br 2.38-2.55
Co: 0.7896 0.5587 0.1940  5 Br 2.43-2.66
Br: 0.0314 0.5986 0.3497  1 Co 2.43
Br: 0.1265 0.3329 0.9776  2 Co 2.50-2.55
Br: 0.1941 0.1941 0.6686  2 Co 2.53
Br: 0.2174 0.2174 0.2870  1 Co 2.38
Br: 0.2905 0.7095 0.0000  2 Co 2.66
Br: 0.3329 0.1265 0.9776  2 Co 2.50-2.55
Br: 0.3780 0.5807 0.7025  2 Co 2.46-2.52
Br: 0.4014 0.9686 0.6503  1 Co 2.43
Br: 0.4193 0.6220 0.2975  2 Co 2.46-2.52
Br: 0.5807 0.3780 0.7025  2 Co 2.46-2.52
Br: 0.5986 0.0314 0.3497  1 Co 2.43
Br: 0.6220 0.4193 0.2975  2 Co 2.46-2.52
Br: 0.6671 0.8735 0.0224  2 Co 2.50-2.55
Br: 0.7095 0.2905 0.0000  2 Co 2.66
Br: 0.7826 0.7826 0.7130  1 Co 2.38
Br: 0.8059 0.8059 0.3314  2 Co 2.53
Br: 0.8735 0.6671 0.0224  2 Co 2.50-2.55
Br: 0.9686 0.4014 0.6503  1 Co 2.43

A geometry-optimized K2CoBr4 structure. Source: Alexandria via LeMat-Bulk, functional PBE.

a = 7.4170 Å, b = 7.5539 Å, c = 9.2137 Å
α = 90.00°, β = 108.24°, γ = 90.00°
With the nearest neighbours (Å) after each atom.
Fractional coordinates of all 14 atoms:
K: 0.2175 0.2500 0.0505  6 Br 3.30-3.48
K: 0.2701 0.2500 0.5697  6 Br 3.40-3.50
K: 0.7299 0.7500 0.4303  6 Br 3.40-3.50
K: 0.7825 0.7500 0.9495  6 Br 3.30-3.48
Co: 0.2228 0.7500 0.7984  4 Br 2.40-2.41
Co: 0.7772 0.2500 0.2016  4 Br 2.40-2.41
Br: 0.0088 0.5020 0.7399  1 Co 2.41
Br: 0.0088 0.9980 0.7399  1 Co 2.41
Br: 0.3958 0.7500 0.0661  1 Co 2.40
Br: 0.4176 0.7500 0.6333  1 Co 2.40
Br: 0.5824 0.2500 0.3667  1 Co 2.40
Br: 0.6042 0.2500 0.9339  1 Co 2.40
Br: 0.9912 0.0020 0.2601  1 Co 2.41
Br: 0.9912 0.4980 0.2601  1 Co 2.41

A geometry-optimized KCoBr2 structure. Source: Alexandria via LeMat-Bulk, functional PBE.

The offset from the most stable computed form is 279.1 meV per atom.

a = 9.1947 Å, b = 9.1947 Å, c = 9.1947 Å
α = 25.03°, β = 25.03°, γ = 25.03°
With the nearest neighbours (Å) after each atom.
Fractional coordinates of all 4 atoms:
K: 0.0000 0.0000 0.0000  2 Br 3.10
Co: 0.5000 0.5000 0.5000  6 Br 2.67
Br: 0.1162 0.1162 0.1162  3 Co 2.67
Br: 0.8838 0.8838 0.8838  3 Co 2.67

A geometry-optimized K2CoBr structure. Source: Alexandria via LeMat-Bulk, functional PBE.

The offset from the most stable computed form is 25.9 meV per atom.

a = 9.0621 Å, b = 9.0621 Å, c = 9.0621 Å
α = 153.22°, β = 152.03°, γ = 39.11°
With the nearest neighbours (Å) after each atom.
Fractional coordinates of all 4 atoms:
K: 0.0000 0.0000 0.0000  2 Br 3.33, 4 Co 3.52
K: 0.7343 0.2343 0.5000  4 Br 3.34, 2 Co 3.52
Co: 0.3959 0.3959 0.0000  6 K 3.52
Br: 0.1517 0.6517 0.5000  6 K 3.33-3.34

A geometry-optimized KCoBr2 structure. Source: Alexandria via LeMat-Bulk, functional PBE.

The offset from the most stable computed form is 409.8 meV per atom.

a = 5.2585 Å, b = 5.2585 Å, c = 3.6119 Å
α = 90.00°, β = 90.00°, γ = 90.00°
With the nearest neighbours (Å) after each atom.
Fractional coordinates of all 4 atoms:
K: 0.0000 0.0000 0.0000  8 Br 3.19
Co: 0.5000 0.5000 0.0000  8 Br 3.19
Br: 0.0000 0.5000 0.5000  4 K 3.19, 4 Co 3.19
Br: 0.5000 0.0000 0.5000  4 K 3.19, 4 Co 3.19

A geometry-optimized KCoBr2 structure. Source: Alexandria via LeMat-Bulk, functional PBE.

The offset from the most stable computed form is 216.8 meV per atom.

a = 7.6497 Å, b = 7.6497 Å, c = 7.6497 Å
α = 151.27°, β = 149.08°, γ = 42.71°
With the nearest neighbours (Å) after each atom.
Fractional coordinates of all 4 atoms:
K: 0.0000 0.0000 0.0000  6 Br 3.23-3.28
Co: 0.7365 0.2365 0.5000  2 Br 2.51
Br: 0.3242 0.8242 0.5000  4 Co 3.05, 2 K 3.23
Br: 0.6209 0.6209 0.0000  2 Co 2.51

A geometry-optimized KCo3Br structure. Source: Alexandria via LeMat-Bulk, functional PBE.

The offset from the most stable computed form is 1193.0 meV per atom.

a = 4.9307 Å, b = 4.9307 Å, c = 4.9307 Å
α = 90.00°, β = 90.00°, γ = 90.00°
With the nearest neighbours (Å) after each atom.
Fractional coordinates of all 5 atoms:
K: 0.0000 0.0000 0.0000  6 Co 2.47
Co: 0.0000 0.0000 0.5000  2 K 2.47
Co: 0.0000 0.5000 0.0000  2 K 2.47
Co: 0.5000 0.0000 0.0000  2 K 2.47
Br: 0.5000 0.5000 0.5000  12 Co 3.49

A geometry-optimized KCoBr3 structure. Source: Alexandria via LeMat-Bulk, functional PBE.

a = 5.1754 Å, b = 5.1754 Å, c = 5.1754 Å
α = 90.00°, β = 90.00°, γ = 90.00°
With the nearest neighbours (Å) after each atom.
Fractional coordinates of all 5 atoms:
K: 0.0000 0.0000 0.0000  12 Br 3.66
Co: 0.5000 0.5000 0.5000  6 Br 2.59
Br: 0.0000 0.5000 0.5000  2 Co 2.59
Br: 0.5000 0.0000 0.5000  2 Co 2.59
Br: 0.5000 0.5000 0.0000  2 Co 2.59

A geometry-optimized K2CoBr structure. Source: Alexandria via LeMat-Bulk, functional PBE.

The offset from the most stable computed form is 42.3 meV per atom.

a = 5.8030 Å, b = 5.8030 Å, c = 5.8030 Å
α = 60.00°, β = 60.00°, γ = 60.00°
With the nearest neighbours (Å) after each atom.
Fractional coordinates of all 4 atoms:
K: 0.2500 0.2500 0.2500  4 Br 3.55, 4 Co 3.55
K: 0.7500 0.7500 0.7500  4 Co 3.55, 4 Br 3.55
Co: 0.0000 0.0000 0.0000  8 K 3.55
Br: 0.5000 0.5000 0.5000  8 K 3.55

A geometry-optimized KCoBr3 structure. Source: Alexandria via LeMat-Bulk, functional PBE.

a = 8.6733 Å, b = 4.1139 Å, c = 10.0939 Å
α = 90.00°, β = 90.00°, γ = 90.00°
With the nearest neighbours (Å) after each atom.
Fractional coordinates of all 10 atoms:
K: 0.2500 0.2500 0.1056  6 Br 3.27-3.42
K: 0.7500 0.7500 0.8944  6 Br 3.27-3.42
Co: 0.2499 0.2500 0.6804  4 Br 2.39-2.46
Co: 0.7501 0.7500 0.3196  4 Br 2.39-2.46
Br: 0.0317 0.2500 0.8250  1 Co 2.39
Br: 0.2496 0.7500 0.5466  2 Co 2.46
Br: 0.4692 0.2500 0.8239  1 Co 2.39
Br: 0.5308 0.7500 0.1761  1 Co 2.39
Br: 0.7504 0.2500 0.4534  2 Co 2.46
Br: 0.9683 0.7500 0.1750  1 Co 2.39

A geometry-optimized KCoBr3 structure. Source: Alexandria via LeMat-Bulk, functional PBE.

a = 5.9387 Å, b = 5.9387 Å, c = 5.9387 Å
α = 90.00°, β = 90.00°, γ = 90.00°
With the nearest neighbours (Å) after each atom.
Fractional coordinates of all 5 atoms:
K: 0.0000 0.0000 0.0000  6 Br 2.97
Co: 0.5000 0.5000 0.5000  12 Br 4.20
Br: 0.0000 0.0000 0.5000  2 K 2.97
Br: 0.0000 0.5000 0.0000  2 K 2.97
Br: 0.5000 0.0000 0.0000  2 K 2.97

A geometry-optimized K2CoBr structure. Source: Alexandria via LeMat-Bulk, functional PBE.

The offset from the most stable computed form is 0.0 meV per atom.

a = 4.7034 Å, b = 4.7034 Å, c = 8.7754 Å
α = 105.06°, β = 105.06°, γ = 59.38°
With the nearest neighbours (Å) after each atom.
Fractional coordinates of all 4 atoms:
K: 0.2430 0.2430 0.2332  3 Br 3.34, 3 Co 3.49-3.52
K: 0.7570 0.7570 0.7668  3 Br 3.34, 3 Co 3.49-3.52
Co: 0.0000 0.0000 0.5000  6 K 3.49-3.52
Br: 0.5000 0.5000 0.0000  6 K 3.34

A geometry-optimized KCoBr2 structure. Source: Alexandria via LeMat-Bulk, functional PBE.

The offset from the most stable computed form is 50.8 meV per atom.

a = 7.3388 Å, b = 7.3388 Å, c = 7.3388 Å
α = 32.63°, β = 32.63°, γ = 32.63°
With the nearest neighbours (Å) after each atom.
Fractional coordinates of all 4 atoms:
K: 0.0000 0.0000 0.0000  6 Br 3.23
Co: 0.5000 0.5000 0.5000  6 Br 2.71
Br: 0.2287 0.2287 0.2287  3 Co 2.71
Br: 0.7713 0.7713 0.7713  3 Co 2.71

A geometry-optimized K2Co3Br8 structure. Source: Alexandria via LeMat-Bulk, functional PBE.

a = 8.7551 Å, b = 8.7551 Å, c = 6.7607 Å
α = 105.03°, β = 105.03°, γ = 52.86°
With the nearest neighbours (Å) after each atom.
Fractional coordinates of all 13 atoms:
K: 0.2377 0.2377 0.1737  6 Br 3.24-3.35
K: 0.7623 0.7623 0.8263  6 Br 3.24-3.35
Co: 0.2466 0.7534 0.5000  6 Br 2.57-2.68
Co: 0.5000 0.5000 0.0000  6 Br 2.57-2.66
Co: 0.7534 0.2466 0.5000  6 Br 2.57-2.68
Br: 0.1013 0.1013 0.4541  2 Co 2.57
Br: 0.1753 0.6414 0.1140  2 Co 2.57-2.59
Br: 0.3586 0.8247 0.8860  2 Co 2.57-2.59
Br: 0.4052 0.4052 0.6035  3 Co 2.66-2.68
Br: 0.5948 0.5948 0.3965  3 Co 2.66-2.68
Br: 0.6414 0.1753 0.1140  2 Co 2.57-2.59
Br: 0.8247 0.3586 0.8860  2 Co 2.57-2.59
Br: 0.8987 0.8987 0.5459  2 Co 2.57

A geometry-optimized KCo4Br structure. Source: Alexandria via LeMat-Bulk, functional PBE.

a = 5.1899 Å, b = 5.1899 Å, c = 5.1899 Å
α = 60.00°, β = 60.00°, γ = 60.00°
With the nearest neighbours (Å) after each atom.
Fractional coordinates of all 6 atoms:
K: 0.0000 0.0000 0.0000  12 Co 3.05, 4 Br 3.18
Co: 0.3760 0.3760 0.3760  6 Co 2.57-2.62
Co: 0.3760 0.3760 0.8720  6 Co 2.57-2.62
Co: 0.3760 0.8720 0.3760  6 Co 2.57-2.62
Co: 0.8720 0.3760 0.3760  6 Co 2.57-2.62
Br: 0.7500 0.7500 0.7500  12 Co 3.04, 4 K 3.18

Number 1: magnetic moment 2.0 μB per cell, formation energy from raw total energies -0.04 eV/atom. Number 2: magnetic moment 2.0 μB per cell, formation energy from raw total energies -0.46 eV/atom. Number 3: magnetic moment 14.0 μB per cell, formation energy from raw total energies -0.79 eV/atom. Number 4: magnetic moment 2.1 μB per cell, formation energy from raw total energies 0.24 eV/atom. Number 5: magnetic moment 6.0 μB per cell, formation energy from raw total energies -1.26 eV/atom. Number 6: magnetic moment 19.9 μB per cell, formation energy from raw total energies -0.61 eV/atom. Number 7: magnetic moment 6.0 μB per cell, formation energy from raw total energies -1.14 eV/atom. Number 8: magnetic moment 2.3 μB per cell, formation energy from raw total energies -0.37 eV/atom. Number 9: magnetic moment 2.0 μB per cell, formation energy from raw total energies -0.06 eV/atom. Number 10: magnetic moment 2.2 μB per cell, formation energy from raw total energies -0.24 eV/atom. Number 11: magnetic moment 2.0 μB per cell, formation energy from raw total energies -0.43 eV/atom. Number 12: magnetic moment 5.0 μB per cell, formation energy from raw total energies 2.35 eV/atom. Number 13: magnetic moment 2.6 μB per cell, formation energy from raw total energies -0.74 eV/atom. Number 14: magnetic moment 2.0 μB per cell, formation energy from raw total energies -0.04 eV/atom. Number 15: magnetic moment 6.0 μB per cell, formation energy from raw total energies -0.84 eV/atom. Number 16: magnetic moment 3.1 μB per cell, formation energy from raw total energies 0.42 eV/atom. Number 17: magnetic moment 2.0 μB per cell, formation energy from raw total energies -0.08 eV/atom. Number 18: magnetic moment 2.0 μB per cell, formation energy from raw total energies -0.60 eV/atom. Number 19: magnetic moment 9.0 μB per cell, formation energy from raw total energies -0.68 eV/atom. Number 20: magnetic moment 7.9 μB per cell, formation energy from raw total energies 0.76 eV/atom.